Record 1
The following is a GGA-PBE calculation of a relaxed Pr3YHo crystal, from the Alexandria database.

The structure belongs to space group Cmce (No. 64); the cell edges are 13.276, 13.393 and 7.787 Å and the angles 90.00°, 90.00° and 90.00°. The distinct sites, in fractional coordinates, are Pr at (0.000, 0.101, 0.108), Pr at (0.150, 0.241, 0.383), Y at (0.250, 0.010, 0.750) and Ho at (0.000, 0.099, 0.627).

As for the energy above the lowest structure with this stoichiometry: 52 meV/atom. As for the mass density: 6.5 g/cm3. Its total energy is -24.8 eV per formula unit. The value obtained for the formation energy from the elements is 119 meV per atom.

=====

Record 2
The following is a GGA-PBE calculation of a relaxed Pr6Y2Ho crystal, from the Alexandria database.

The structure belongs to space group Cmmm (No. 65); the cell edges are 9.505, 17.880 and 3.703 Å and the angles 90.00°, 90.00° and 90.00°. The distinct sites, in fractional coordinates, are Pr at (0.175, 0.165, 0.000), Pr at (0.185, 0.000, 0.500), Y at (0.000, 0.325, 0.500) and Ho at (0.000, 0.500, 0.000).

As for the energy above the lowest structure with this stoichiometry: 0 meV/atom. As for the mass density: 6.3 g/cm3. Its total energy is -45.1 eV per formula unit. The value obtained for the formation energy from the elements is 122 meV per atom.

=====

Record 3
The following is a GGA-PBE calculation of a relaxed Pr3Y6Ho2 crystal, from the Alexandria database.

The structure belongs to space group C2/m (No. 12); the cell edges are 6.234, 10.823 and 11.639 Å and the angles 90.00°, 100.45° and 90.00°. The distinct sites, in fractional coordinates, are Pr at (0.000, 0.000, 0.000), Pr at (0.000, 0.336, 0.000), Y at (0.247, 0.334, 0.744), Y at (0.249, 0.000, 0.744) and Ho at (0.000, 0.166, 0.500).

As for the energy above the lowest structure with this stoichiometry: 186 meV/atom. As for the mass density: 5.5 g/cm3. Its total energy is -60.0 eV per formula unit. The value obtained for the formation energy from the elements is 204 meV per atom.

=====

Record 4
The following is a GGA-PBE calculation of a relaxed PrY6Ho3 crystal, from the Alexandria database.

The structure belongs to space group Cmc2_1 (No. 36); the cell edges are 9.678, 20.997 and 6.417 Å and the angles 90.00°, 90.00° and 90.00°. The distinct sites, in fractional coordinates, are Pr at (0.000, 0.162, 0.000), Y at (0.000, 0.015, 0.802), Y at (0.000, 0.302, 0.778), Y at (0.176, 0.282, 0.319), Y at (0.180, 0.442, 0.561), Ho at (0.000, 0.418, 0.087) and Ho at (0.170, 0.127, 0.475).

As for the energy above the lowest structure with this stoichiometry: 0 meV/atom. As for the mass density: 6.0 g/cm3. Its total energy is -56.1 eV per formula unit. The value obtained for the formation energy from the elements is 116 meV per atom.